1.
28
Lattice="5.236 0.000 0.000 0.000 9.964 0.000 -5.208 0.000 7.372" Properties=species:S:1:pos:R:3 comment="NaCoPO4 | the Alexandria database | PBEsol | optimized geometry" formation_energy_uncorrected_ev_per_atom=-1.788 e_tot_ev_per_atom=-6.92 e_above_lowest_polymorph_mev_per_atom=0 pbc="T T T"
Na -1.469 1.196 3.553
Na -4.073 3.786 7.239
Na 4.101 6.178 0.133
Na 1.496 8.769 3.819
Co -1.057 6.668 3.758
Co 1.547 8.278 0.072
Co -1.519 1.686 7.300
Co 1.085 3.296 3.614
P 1.060 0.989 1.614
P -1.544 3.994 5.300
P 1.572 5.971 2.072
P -1.033 8.976 5.758
O -0.445 1.326 1.470
O -3.049 3.656 5.156
O 1.134 6.422 0.639
O -1.470 8.524 4.325
O 1.846 1.716 0.505
O -0.758 3.266 4.191
O -1.298 5.522 5.275
O 1.306 9.425 1.588
O -1.278 0.540 5.784
O 1.326 4.442 2.098
O 0.785 6.699 3.181
O -1.819 8.248 6.867
O 1.498 1.440 3.047
O -1.106 3.542 6.733
O 3.077 6.309 2.216
O 0.473 8.638 5.902

---

2.
12
Lattice="2.967 0.000 0.000 -1.483 2.569 0.000 0.000 0.000 26.762" Properties=species:S:1:pos:R:3 comment="ScCrAu2 | the Alexandria database | PBEsol | optimized geometry" formation_energy_ev_per_atom=0.156 e_tot_ev_per_atom=-6.02 dos_at_fermi_per_ev_cell=10.578 pbc="T T T"
Sc 0.000 0.000 0.000
Sc 0.000 1.713 17.841
Sc 1.483 0.856 8.921
Cr 0.000 0.000 19.978
Cr 0.000 1.713 11.057
Cr 1.483 0.856 2.137
Au 0.000 0.000 6.622
Au 0.000 0.000 13.171
Au 0.000 1.713 4.250
Au 0.000 1.713 24.464
Au 1.483 0.856 15.543
Au 1.483 0.856 22.091

---

3.
8
Lattice="3.249 0.000 0.000 0.000 3.254 0.000 0.000 0.000 11.353" Properties=species:S:1:pos:R:3 comment="Mo2AsP | the Alexandria database | PBEsol | optimized geometry" formation_energy_ev_per_atom=-0.468 e_tot_ev_per_atom=-9.08 e_above_lowest_polymorph_mev_per_atom=0 dos_at_fermi_per_ev_cell=5.310 pbc="T T T"
Mo 0.000 0.000 0.000
Mo 0.000 1.627 2.988
Mo 1.625 0.000 8.665
Mo 1.625 1.627 5.677
As 0.000 0.000 6.692
As 1.625 1.627 1.015
P 0.000 1.627 9.536
P 1.625 0.000 3.859

---

4.
8
Lattice="2.780 0.000 0.000 0.000 3.150 0.000 0.000 0.000 17.860" Properties=species:S:1:pos:R:3 comment="CrHgAs2 | the Alexandria database | PBEsol | optimized geometry" formation_energy_ev_per_atom=0.152 e_tot_ev_per_atom=-5.10 dos_at_fermi_per_ev_cell=5.174 pbc="T T T"
Cr 0.000 0.000 0.000
Cr 1.390 1.575 8.930
Hg 0.000 1.575 13.034
Hg 1.390 0.000 4.104
As 0.000 0.000 10.212
As 0.000 1.575 6.912
As 1.390 0.000 15.842
As 1.390 1.575 1.282

---

5.
10
Lattice="8.414 0.000 0.000 0.000 8.414 0.000 0.000 0.000 3.124" Properties=species:S:1:pos:R:3 comment="Li2LaSn2 | the Alexandria database | PBEsol | optimized geometry" formation_energy_ev_per_atom=-0.541 e_tot_ev_per_atom=-4.10 e_above_lowest_polymorph_mev_per_atom=57 dos_at_fermi_per_ev_cell=3.664 pbc="T T T"
Li 0.970 3.237 0.000
Li 3.237 7.444 0.000
Li 5.177 0.970 0.000
Li 7.444 5.177 0.000
La 0.000 0.000 0.000
La 4.207 4.207 0.000
Sn 1.482 5.689 1.562
Sn 2.725 1.482 1.562
Sn 5.689 6.932 1.562
Sn 6.932 2.725 1.562

---

6.
15
Lattice="9.055 0.000 0.000 -4.528 7.842 0.000 0.000 0.000 3.185" Properties=species:S:1:pos:R:3 comment="TlV6S8 | the Alexandria database | PBEsol | optimized geometry" formation_energy_uncorrected_ev_per_atom=-1.053 e_tot_ev_per_atom=-7.42 dos_at_fermi_per_ev_cell=7.782 pbc="T T T"
Tl 0.000 0.000 0.000
V -1.782 4.920 2.395
V 1.158 3.839 2.395
V 3.904 0.916 0.790
V 0.624 6.926 2.395
V 3.370 4.003 0.790
V 6.310 2.922 0.790
S -1.081 2.723 2.374
S -1.629 7.417 2.374
S 0.000 5.228 0.801
S 1.818 2.298 0.810
S 2.710 5.544 2.374
S 4.528 2.614 2.384
S 6.157 0.425 0.810
S 5.609 5.119 0.810

---

7.
10
Lattice="4.139 0.000 0.000 0.000 4.139 0.000 0.000 0.000 17.376" Properties=species:S:1:pos:R:3 comment="BaNa2Cl2 | the Alexandria database | PBEsol | optimized geometry" formation_energy_uncorrected_ev_per_atom=-1.200 e_tot_ev_per_atom=-2.99 dos_at_fermi_per_ev_cell=3.017 pbc="T T T"
Ba 0.000 0.000 0.000
Ba 2.070 2.070 8.688
Na 0.000 2.070 4.344
Na 0.000 2.070 13.032
Na 2.070 0.000 4.344
Na 2.070 0.000 13.032
Cl 0.000 0.000 7.119
Cl 0.000 0.000 10.257
Cl 2.070 2.070 1.569
Cl 2.070 2.070 15.806

---

8.
8
Lattice="2.968 0.000 0.000 0.000 4.153 0.000 0.000 0.000 8.353" Properties=species:S:1:pos:R:3 comment="BeRe2Ru | the Alexandria database | PBEsol | optimized geometry" formation_energy_ev_per_atom=-0.006 e_tot_ev_per_atom=-10.22 e_above_lowest_polymorph_mev_per_atom=0 dos_at_fermi_per_ev_cell=3.770 pbc="T T T"
Be 0.000 0.000 0.000
Be 1.484 2.076 4.176
Re 0.000 2.076 2.188
Re 0.000 2.076 6.164
Re 1.484 0.000 1.988
Re 1.484 0.000 6.365
Ru 0.000 0.000 4.176
Ru 1.484 2.076 0.000

---

9.
28
Lattice="10.121 0.000 0.000 -5.061 8.765 0.000 0.000 0.000 10.360" Properties=species:S:1:pos:R:3 comment="K6Na3GaSb4 | the Alexandria database | PBEsol | optimized geometry" formation_energy_uncorrected_ev_per_atom=-0.448 e_tot_ev_per_atom=-2.77 pbc="T T T"
K 0.000 3.639 0.417
K 0.000 3.639 4.763
K -1.909 6.946 0.417
K -1.909 6.946 4.763
K 3.151 1.820 5.597
K 3.151 1.820 9.943
K 1.909 6.946 0.417
K 1.909 6.946 4.763
K 6.970 1.820 5.597
K 6.970 1.820 9.943
K 5.061 5.126 5.597
K 5.061 5.126 9.943
Na 0.000 2.030 7.770
Na -3.303 7.750 7.770
Na 1.758 1.015 2.590
Na 3.303 7.750 7.770
Na 8.363 1.015 2.590
Na 5.061 6.735 2.590
Ga 0.000 5.843 7.770
Ga 5.061 2.922 2.590
Sb 0.000 0.000 0.000
Sb 0.000 0.000 5.180
Sb -2.256 4.541 7.770
Sb 2.256 4.541 7.770
Sb 0.000 8.448 7.770
Sb 5.061 0.317 2.590
Sb 2.805 4.224 2.590
Sb 7.316 4.224 2.590

---

10.
4
Lattice="3.699 0.000 0.000 0.000 3.699 0.000 0.000 0.000 8.546" Properties=species:S:1:pos:R:3 comment="La2YZn | the Alexandria database | PBEsol | optimized geometry" formation_energy_ev_per_atom=-0.110 e_tot_ev_per_atom=-4.88 e_above_lowest_polymorph_mev_per_atom=44 dos_at_fermi_per_ev_cell=5.550 pbc="T T T"
La 0.000 0.000 1.786
La 0.000 0.000 6.760
Y 1.850 1.850 4.273
Zn 1.850 1.850 0.000

---

11.
6
Lattice="2.775 0.000 0.000 0.000 2.775 0.000 0.000 0.000 11.426" Properties=species:S:1:pos:R:3 comment="AlPt5 | the Alexandria database | PBEsol | optimized geometry" formation_energy_ev_per_atom=-0.386 e_tot_ev_per_atom=-6.87 dos_at_fermi_per_ev_cell=8.219 pbc="T T T"
Al 0.000 0.000 0.000
Pt 0.000 0.000 3.763
Pt 0.000 0.000 7.663
Pt 1.388 1.388 1.701
Pt 1.388 1.388 5.713
Pt 1.388 1.388 9.725

---

12.
5
Lattice="5.086 0.000 0.000 0.000 5.086 0.000 0.000 0.000 5.086" Properties=species:S:1:pos:R:3 comment="Hf3CrCd | the Alexandria database | PBEsol | optimized geometry" formation_energy_ev_per_atom=1.647 e_tot_ev_per_atom=-6.94 dos_at_fermi_per_ev_cell=7.240 pbc="T T T"
Hf 0.000 0.000 2.543
Hf 0.000 2.543 0.000
Hf 2.543 0.000 0.000
Cr 2.543 2.543 2.543
Cd 0.000 0.000 0.000